(1)
{"formula": "SmEr4Tm2Th", "functional": "PBE", "state": "optimized geometry", "lattice_angstrom": [[0.828, 9.008, -2.662], [0.051, -2.472, -9.100], [-6.465, -4.428, 8.676]], "species": ["Tm", "Er", "Er", "Er", "Th", "Er", "Er", "Th", "Er", "Sm", "Tm", "Tm", "Er", "Tm", "Er", "Sm"], "frac_coords": [[0.000, 0.000, 0.500], [0.250, 0.743, 0.997], [0.757, 0.250, 0.503], [0.253, 0.247, 0.503], [0.000, 0.500, 0.500], [0.253, 0.247, 0.997], [0.747, 0.753, 0.003], [0.000, 0.500, 0.000], [0.747, 0.753, 0.497], [0.500, 0.500, 0.500], [0.500, 0.000, 0.500], [0.500, 0.000, 0.000], [0.243, 0.750, 0.497], [0.500, 0.500, 0.000], [0.750, 0.257, 0.003], [0.000, 0.000, 0.000]], "volume_a3_per_atom": 32.4, "dos_at_fermi_per_ev_cell": 36.67, "formation_enthalpy_0k_ev_per_atom": 0.454}

(2)
{"formula": "Ac2Pa2Ni15", "functional": "PBE", "state": "optimized geometry", "lattice_angstrom": [[-2.606, 6.064, 0.605], [-6.411, -1.673, 0.176], [-0.877, 0.067, 6.569]], "species": ["Ni", "Ni", "Ni", "Ni", "Pa", "Ni", "Ni", "Ni", "Pa", "Ni", "Ni", "Ni", "Ac", "Ni", "Ni", "Ni", "Ni", "Ac", "Ni"], "frac_coords": [[0.702, 0.000, 0.298], [0.298, 0.000, 0.702], [0.000, 0.000, 0.500], [0.340, 0.340, 0.846], [0.109, 0.109, 0.109], [0.340, 0.846, 0.340], [0.000, 0.298, 0.702], [0.000, 0.500, 0.000], [0.891, 0.891, 0.891], [0.660, 0.154, 0.660], [0.154, 0.660, 0.660], [0.000, 0.702, 0.298], [0.359, 0.359, 0.359], [0.702, 0.298, 0.000], [0.846, 0.340, 0.340], [0.500, 0.000, 0.000], [0.660, 0.660, 0.154], [0.641, 0.641, 0.641], [0.298, 0.702, 0.000]], "volume_a3_per_atom": 14.8, "dos_at_fermi_per_ev_cell": 23.40, "formation_enthalpy_0k_ev_per_atom": -0.234}

(3)
{"formula": "Li3Br4", "functional": "PBE", "state": "optimized geometry", "lattice_angstrom": [[-3.267, -1.229, -1.821], [-0.778, -3.850, -0.262], [-7.306, -1.195, 9.658]], "species": ["Br", "Li", "Li", "Br", "Li", "Br", "Br"], "frac_coords": [[0.624, 0.624, 0.129], [0.000, 0.000, 0.000], [0.758, 0.758, 0.726], [0.376, 0.376, 0.871], [0.242, 0.242, 0.274], [0.128, 0.128, 0.617], [0.872, 0.872, 0.383]], "de_polymorph_mev_per_atom": 0.0, "volume_a3_per_atom": 22.9, "dos_at_fermi_per_ev_cell": 7.18, "e_form_raw_mev_per_atom": -1166}

(4)
{"formula": "BaFeSi2", "functional": "PBE", "state": "optimized geometry", "lattice_angstrom": [[-2.538, 1.438, 2.686], [-3.873, 0.190, -0.830], [-2.890, -5.014, 2.877]], "species": ["Si", "Si", "Fe", "Ba"], "frac_coords": [[0.053, 0.053, 0.841], [0.447, 0.447, 0.659], [0.750, 0.750, 0.750], [0.250, 0.250, 0.250]], "volume_a3_per_atom": 20.6, "dos_at_fermi_per_ev_cell": 3.19, "e_form_raw_mev_per_atom": -309}

(5)
{"formula": "YAlRh2", "functional": "PBE", "state": "optimized geometry", "lattice_angstrom": [[4.518, 0.000, 0.000], [0.000, 4.518, 0.000], [2.259, 2.259, 8.251]], "species": ["Rh", "Rh", "Rh", "Y", "Al", "Rh", "Y", "Al"], "frac_coords": [[0.514, 0.125, 0.250], [0.875, 0.764, 0.750], [0.375, 0.486, 0.750], [0.750, 0.250, 0.500], [0.500, 0.500, 0.000], [0.236, 0.625, 0.250], [0.000, 0.000, 0.000], [0.250, 0.750, 0.500]], "volume_a3_per_atom": 21.1, "dos_at_fermi_per_ev_cell": 7.86, "formation_enthalpy_0k_ev_per_atom": -0.295}

(6)
{"formula": "ErZn4Ru", "functional": "PBE", "state": "optimized geometry", "lattice_angstrom": [[5.103, 0.000, 0.000], [2.551, 4.419, 0.000], [2.551, 1.473, 4.166]], "species": ["Zn", "Zn", "Zn", "Ru", "Er", "Zn"], "frac_coords": [[0.121, 0.626, 0.626], [0.626, 0.626, 0.626], [0.626, 0.626, 0.121], [0.000, 0.000, 0.000], [0.250, 0.250, 0.250], [0.626, 0.121, 0.626]], "volume_a3_per_atom": 15.7, "dos_at_fermi_per_ev_cell": 4.12, "formation_enthalpy_0k_ev_per_atom": -0.299}

(7)
{"formula": "ErMgSi2Ni2", "functional": "PBE", "state": "optimized geometry", "lattice_angstrom": [[4.058, 0.000, 0.000], [-2.029, 3.514, 0.000], [0.000, 0.000, 6.571]], "species": ["Si", "Er", "Ni", "Si", "Ni", "Mg"], "frac_coords": [[0.667, 0.333, 0.716], [0.000, 0.000, 0.000], [0.333, 0.667, 0.683], [0.333, 0.667, 0.284], [0.667, 0.333, 0.317], [0.000, 0.000, 0.500]], "volume_a3_per_atom": 15.6, "dos_at_fermi_per_ev_cell": 3.04, "e_form_raw_mev_per_atom": -634}

(8)
{"formula": "AcBiSbS", "functional": "PBE", "state": "optimized geometry", "lattice_angstrom": [[-4.661, 2.598, 1.793], [1.341, -1.265, 5.318], [4.019, 6.794, 0.602]], "species": ["Bi", "Ac", "S", "Sb", "Sb", "Bi", "S", "Ac"], "frac_coords": [[0.000, 0.000, 0.000], [0.500, 0.000, 0.641], [0.500, 0.500, 0.500], [0.500, 0.000, 0.157], [0.000, 0.500, 0.843], [0.500, 0.500, 0.000], [0.000, 0.000, 0.500], [0.000, 0.500, 0.359]], "volume_a3_per_atom": 31.4, "dos_at_fermi_per_ev_cell": 1.17, "e_form_raw_mev_per_atom": -951}

(9)
{"formula": "AgSeI6", "functional": "PBE", "state": "optimized geometry", "lattice_angstrom": [[7.121, 0.101, 0.079], [3.616, 6.986, 0.401], [3.628, 2.717, 6.561]], "species": ["I", "I", "I", "I", "I", "Se", "Ag", "I"], "frac_coords": [[0.238, 0.897, 0.270], [0.910, 0.595, 0.245], [0.385, 0.790, 0.771], [0.615, 0.210, 0.229], [0.090, 0.405, 0.755], [0.000, 0.000, 0.000], [0.500, 0.500, 0.500], [0.762, 0.103, 0.730]], "volume_a3_per_atom": 39.4, "dos_at_fermi_per_ev_cell": 5.91, "e_form_raw_mev_per_atom": 83}

(10)
{"formula": "LuInGaAg", "functional": "PBE", "state": "optimized geometry", "lattice_angstrom": [[4.918, 0.000, 0.000], [2.459, 4.259, 0.000], [2.459, 1.420, 4.016]], "species": ["In", "Ga", "Ag", "Lu"], "frac_coords": [[0.000, 0.000, 0.000], [0.750, 0.750, 0.750], [0.250, 0.250, 0.250], [0.500, 0.500, 0.500]], "volume_a3_per_atom": 21.0, "dos_at_fermi_per_ev_cell": 1.41, "formation_enthalpy_0k_ev_per_atom": -0.292}

(11)
{"formula": "Cr2CuRu", "functional": "PBE", "state": "optimized geometry", "lattice_angstrom": [[4.131, -0.552, 0.000], [0.536, 4.133, 0.000], [-2.333, -1.791, 2.953]], "species": ["Cu", "Cr", "Ru", "Cr"], "frac_coords": [[0.500, 0.500, 0.000], [0.250, 0.750, 0.500], [0.750, 0.250, 0.500], [0.000, 0.000, 0.000]], "volume_a3_per_atom": 12.8, "dos_at_fermi_per_ev_cell": 4.98, "formation_enthalpy_0k_ev_per_atom": 0.231}

(12)
{"formula": "BaLaGa2Ru", "functional": "PBE", "state": "optimized geometry", "lattice_angstrom": [[-0.600, 4.653, 1.989], [-4.383, 0.524, -2.546], [-2.580, -2.052, 4.021]], "species": ["Ga", "Ba", "Ga", "Ru", "La"], "frac_coords": [[0.500, 0.000, 0.000], [0.500, 0.500, 0.500], [0.000, 0.500, 0.000], [0.000, 0.000, 0.000], [0.000, 0.000, 0.500]], "volume_a3_per_atom": 27.0, "dos_at_fermi_per_ev_cell": 4.30, "formation_enthalpy_0k_ev_per_atom": -0.348}

Looking at total DFT energy (no corrections) for the records above, in order, we have -4.463 -6.230 -2.943 -5.617 -6.522 -3.455 -5.395 -5.011 -1.872 -3.577 -7.924 -4.784 eV per atom.